# 1
{"formula": "Pm2CoSi4Ni3", "functional": "GGA-PBE", "state": "optimized geometry", "final_energy_ev_per_atom": -6.36, "raw_formation_energy_kj_per_mol_fu": -770, "m_tot_mub_per_atom": 0.076, "spacegroup": "P-4m2", "lattice": [[4.007, 0.000, 0.000], [0.000, 4.007, 0.000], [0.000, 0.000, 9.623]], "species": ["Pm", "Pm", "Co", "Si", "Si", "Si", "Si", "Ni", "Ni", "Ni"], "frac_coords": [[0.000, 0.500, 0.248], [0.500, 0.000, 0.752], [0.000, 0.000, 0.500], [0.000, 0.000, 0.000], [0.000, 0.500, 0.626], [0.500, 0.000, 0.374], [0.500, 0.500, 0.000], [0.000, 0.500, 0.875], [0.500, 0.000, 0.125], [0.500, 0.500, 0.500]]}



# 2
{"formula": "La2NdCuSe5", "functional": "GGA-PBE", "state": "optimized geometry", "final_energy_ev_per_atom": -5.70, "raw_formation_energy_kj_per_mol_fu": -1464, "m_tot_mub_per_atom": 0.000, "spacegroup": "Cmc2_1", "lattice": [[2.076, -8.828, 0.000], [2.076, 8.828, 0.000], [0.000, 0.000, 12.639]], "species": ["La", "La", "La", "La", "Nd", "Nd", "Cu", "Cu", "Se", "Se", "Se", "Se", "Se", "Se", "Se", "Se", "Se", "Se"], "frac_coords": [[0.113, 0.887, 0.500], [0.116, 0.884, 0.847], [0.884, 0.116, 0.347], [0.887, 0.113, 0.000], [0.178, 0.822, 0.178], [0.822, 0.178, 0.678], [0.447, 0.553, 0.576], [0.553, 0.447, 0.076], [0.014, 0.986, 0.167], [0.302, 0.698, 0.844], [0.313, 0.687, 0.510], [0.346, 0.654, 0.172], [0.495, 0.505, 0.902], [0.505, 0.495, 0.402], [0.654, 0.346, 0.672], [0.687, 0.313, 0.010], [0.698, 0.302, 0.344], [0.986, 0.014, 0.667]]}



# 3
{"formula": "ScAlGa2Tc", "functional": "GGA-PBE", "state": "optimized geometry", "final_energy_ev_per_atom": -4.36, "delta_e_f_ev_per_fu": 4.7, "m_tot_mub_per_atom": 0.575, "spacegroup": "P4/mmm", "lattice": [[4.675, 0.000, 0.000], [0.000, 4.675, 0.000], [0.000, 0.000, 5.065]], "species": ["Sc", "Al", "Ga", "Ga", "Tc"], "frac_coords": [[0.000, 0.000, 0.000], [0.000, 0.000, 0.500], [0.000, 0.500, 0.500], [0.500, 0.000, 0.500], [0.500, 0.500, 0.000]]}



# 4
{"formula": "CeTlCdRh", "functional": "GGA-PBE", "state": "optimized geometry", "final_energy_ev_per_atom": -4.34, "delta_e_f_ev_per_fu": -0.8, "m_tot_mub_per_atom": 0.080, "spacegroup": "F-43m", "lattice": [[0.000, 3.552, 3.552], [3.552, 0.000, 3.552], [3.552, 3.552, 0.000]], "species": ["Ce", "Tl", "Cd", "Rh"], "frac_coords": [[0.000, 0.000, 0.000], [0.750, 0.750, 0.750], [0.500, 0.500, 0.500], [0.250, 0.250, 0.250]]}



# 5
{"formula": "CoSb2RhI", "functional": "GGA-PBE", "state": "optimized geometry", "final_energy_ev_per_atom": -4.01, "raw_formation_energy_kj_per_mol_fu": 404, "m_tot_mub_per_atom": 0.413, "spacegroup": "P4/mmm", "lattice": [[5.065, 0.000, 0.000], [0.000, 5.065, 0.000], [0.000, 0.000, 5.626]], "species": ["Co", "Sb", "Sb", "Rh", "I"], "frac_coords": [[0.000, 0.000, 0.000], [0.000, 0.500, 0.500], [0.500, 0.000, 0.500], [0.500, 0.500, 0.500], [0.500, 0.500, 0.000]]}



# 6
{"formula": "Er4GeTe", "functional": "GGA-PBE", "state": "optimized geometry", "final_energy_ev_per_atom": -4.77, "raw_formation_energy_kj_per_mol_fu": -251, "m_tot_mub_per_atom": 0.000, "spacegroup": "I4_1md", "lattice": [[-4.808, 4.808, 4.212], [4.808, -4.808, 4.212], [4.808, 4.808, -4.212]], "species": ["Er", "Er", "Er", "Er", "Er", "Er", "Er", "Er", "Ge", "Ge", "Te", "Te"], "frac_coords": [[0.196, 0.000, 0.196], [0.212, 0.497, 0.285], [0.212, 0.927, 0.715], [0.247, 0.462, 0.785], [0.677, 0.462, 0.215], [0.750, 0.054, 0.304], [0.750, 0.446, 0.696], [0.804, 0.000, 0.804], [0.240, 0.240, 0.000], [0.990, 0.490, 0.500], [0.470, 0.970, 0.500], [0.720, 0.720, 0.000]]}